[1]
Computed, not measured: a relaxed structure of TbPr3Zn8 at the GGA-PBE level of DFT.

Values from the calculation:
M_tot, μB per atom: 0.00
Symmetry: R3m, No. 160
Formation energy, eV per atom: -0.3154

abc: 5.587 5.587 9.636
angles: 73.15 73.15 60.00
Element x y z (fractional)
1 Zn 0.437 0.437 0.191
2 Zn 0.937 0.937 0.684
3 Zn 0.437 0.935 0.191
4 Zn 0.441 0.937 0.684
5 Zn 0.935 0.437 0.191
6 Zn 0.688 0.688 0.937
7 Zn 0.187 0.187 0.438
8 Zn 0.937 0.441 0.684
9 Pr 0.499 0.499 0.502
10 Pr 0.374 0.374 0.877
11 Pr 0.000 0.000 0.999
12 Tb 0.876 0.876 0.373

[2]
Computed, not measured: a relaxed structure of TbPr2Zn at the GGA-PBE level of DFT.

Values from the calculation:
M_tot, μB per atom: 0.00
Symmetry: Fm-3m, No. 225
Formation energy, eV per atom: 0.0363

abc: 5.493 5.493 5.493
angles: 60.00 60.00 60.00
Element x y z (fractional)
1 Pr 0.750 0.750 0.750
2 Pr 0.250 0.250 0.250
3 Tb 0.000 0.000 0.000
4 Zn 0.500 0.500 0.500

[3]
Computed, not measured: a relaxed structure of Tb3PrZn4 at the GGA-PBE level of DFT.

Values from the calculation:
M_tot, μB per atom: 0.00
Symmetry: P4/mmm, No. 123
Formation energy, eV per atom: -0.3243

abc: 5.093 7.281 10.186
angles: 90.00 90.00 90.00
Element x y z (fractional)
1 Pr 0.000 0.500 0.000
2 Pr 0.000 0.500 0.500
3 Zn 0.001 0.759 0.750
4 Zn 0.500 0.241 0.500
5 Zn 0.999 0.241 0.250
6 Zn 0.500 0.759 0.000
7 Zn 0.500 0.759 0.500
8 Zn 0.001 0.241 0.750
9 Zn 0.999 0.759 0.250
10 Zn 0.500 0.241 0.000
11 Tb 0.501 0.000 0.750
12 Tb 0.501 0.500 0.750
13 Tb 0.000 0.000 0.000
14 Tb 0.499 0.500 0.250
15 Tb 0.000 0.000 0.500
16 Tb 0.499 0.000 0.250

Record-wise VASP energy values, in eV per cell: -32.9 -15.3 -52.7